Arrangement 1

First-principles (GGA-PBE) data for a relaxed structure of Hf2ScNi2, as listed in Alexandria.

```
data_Hf2ScNi2
_chemical_formula_sum 'Hf4 Sc2 Ni4'
_space_group_name_H-M_alt 'P 4/m b m'
_space_group_IT_number 127
_space_group_name_Hall '-P 4 2ab'
_cell_length_a 7.2713
_cell_length_b 7.2713
_cell_length_c 3.2171
_cell_angle_alpha 90.00
_cell_angle_beta 90.00
_cell_angle_gamma 90.00
loop_
_atom_site_label
_atom_site_type_symbol
_atom_site_fract_x
_atom_site_fract_y
_atom_site_fract_z
Hf1 Hf 0.1663 0.3337 0.0000
Sc1 Sc 0.0000 0.0000 0.5000
Ni1 Ni 0.1254 0.6254 0.5000
```

=====

Arrangement 2

First-principles (GGA-PBE) data for a relaxed structure of Hf2ScNi2, as listed in Alexandria.

```
data_Hf2ScNi2
_chemical_formula_sum 'Hf4 Sc2 Ni4'
_space_group_name_H-M_alt 'I 4/m m m'
_space_group_IT_number 139
_space_group_name_Hall '-I 4 2'
_cell_length_a 3.3252
_cell_length_b 3.3252
_cell_length_c 17.2493
_cell_angle_alpha 90.00
_cell_angle_beta 90.00
_cell_angle_gamma 90.00
loop_
_atom_site_label
_atom_site_type_symbol
_atom_site_fract_x
_atom_site_fract_y
_atom_site_fract_z
Hf1 Hf 0.0000 0.0000 0.1310
Sc1 Sc 0.0000 0.0000 0.5000
Ni1 Ni 0.0000 0.5000 0.2500
```

=====

Which structure loses on stability? arrangement 2 does.

=====

Arrangement 1

First-principles (GGA-PBE) data for a relaxed structure of Hf2ScNi, as listed in Alexandria.

```
data_Hf2ScNi
_chemical_formula_sum 'Hf8 Sc4 Ni4'
_space_group_name_H-M_alt 'P n m a'
_space_group_IT_number 62
_space_group_name_Hall '-P 2ac 2n'
_cell_length_a 6.1356
_cell_length_b 9.0447
_cell_length_c 5.7639
_cell_angle_alpha 90.00
_cell_angle_beta 90.00
_cell_angle_gamma 90.00
loop_
_atom_site_label
_atom_site_type_symbol
_atom_site_fract_x
_atom_site_fract_y
_atom_site_fract_z
Hf1 Hf 0.1843 0.0568 0.1709
Sc1 Sc 0.0208 0.2500 0.6453
Ni1 Ni 0.1092 0.7500 0.9179
```

=====

Arrangement 2

First-principles (GGA-PBE) data for a relaxed structure of Hf2ScNi, as listed in Alexandria.

```
data_Hf2ScNi
_chemical_formula_sum 'Hf2 Sc1 Ni1'
_space_group_name_H-M_alt 'P 4/m m m'
_space_group_IT_number 123
_space_group_name_Hall '-P 4 2'
_cell_length_a 3.2090
_cell_length_b 3.2090
_cell_length_c 7.5606
_cell_angle_alpha 90.00
_cell_angle_beta 90.00
_cell_angle_gamma 90.00
loop_
_atom_site_label
_atom_site_type_symbol
_atom_site_fract_x
_atom_site_fract_y
_atom_site_fract_z
Hf1 Hf 0.0000 0.0000 0.2069
Sc1 Sc 0.5000 0.5000 0.5000
Ni1 Ni 0.5000 0.5000 0.0000
```

=====

Which structure loses on stability? arrangement 2 does.

=====

Arrangement 1

First-principles (GGA-PBE) data for a relaxed structure of Hf3ScNi, as listed in Alexandria.

```
data_Hf3ScNi
_chemical_formula_sum 'Hf3 Sc1 Ni1'
_space_group_name_H-M_alt 'P m -3 m'
_space_group_IT_number 221
_space_group_name_Hall '-P 4 2 3'
_cell_length_a 4.8543
_cell_length_b 4.8543
_cell_length_c 4.8543
_cell_angle_alpha 90.00
_cell_angle_beta 90.00
_cell_angle_gamma 90.00
loop_
_atom_site_label
_atom_site_type_symbol
_atom_site_fract_x
_atom_site_fract_y
_atom_site_fract_z
Hf1 Hf 0.0000 0.0000 0.5000
Sc1 Sc 0.5000 0.5000 0.5000
Ni1 Ni 0.0000 0.0000 0.0000
```

=====

Arrangement 2

First-principles (GGA-PBE) data for a relaxed structure of Hf3ScNi, as listed in Alexandria.

```
data_Hf3ScNi
_chemical_formula_sum 'Hf3 Sc1 Ni1'
_space_group_name_H-M_alt 'P m -3 m'
_space_group_IT_number 221
_space_group_name_Hall '-P 4 2 3'
_cell_length_a 4.9108
_cell_length_b 4.9108
_cell_length_c 4.9108
_cell_angle_alpha 90.00
_cell_angle_beta 90.00
_cell_angle_gamma 90.00
loop_
_atom_site_label
_atom_site_type_symbol
_atom_site_fract_x
_atom_site_fract_y
_atom_site_fract_z
Hf1 Hf 0.0000 0.0000 0.5000
Sc1 Sc 0.0000 0.0000 0.0000
Ni1 Ni 0.5000 0.5000 0.5000
```

=====

Which structure loses on stability? arrangement 2 does.